Here is crystalline K2Al3CoF12 at its relaxed geometry from the Alexandria database. Energies are from PBE+U.

Calculated values
Total DFT energy (no corrections) in eV/cell: -291.70
M_tot in μB/cell: 6.0

```
data_K2Al3CoF12
_cell_length_a 7.0723
_cell_length_b 7.0723
_cell_length_c 17.2613
_cell_angle_alpha 90.00
_cell_angle_beta 90.00
_cell_angle_gamma 120.00
_space_group_name_H-M_alt 'R -3 m'
_space_group_IT_number 166
_space_group_name_Hall '-R 3 2"'
loop_
_atom_site_label
_atom_site_type_symbol
_atom_site_fract_x
_atom_site_fract_y
_atom_site_fract_z
_atom_site_occupancy
K1 K 0.0000 0.0000 0.1297 1
Al1 Al 0.0000 0.5000 0.0000 1
Co1 Co 0.0000 0.0000 0.5000 1
F1 F 0.0074 0.5037 0.1033 1
F2 F 0.0807 0.5403 0.3362 1
```